ZrInBr5: optimized geometry, PBE.

Results
The space group is No. 15. The total energy is -3.9352 eV per atom. As for the formation energy from raw total energies: -1.128 eV/atom. The total magnetization is 0.0 μB per formula unit.

abc: 7.628 7.628 10.561
angles: 71.25 71.25 70.80
Positions (direct):
1 Br 0.646 0.192 0.489
2 Br 0.111 0.313 0.377
3 Br 0.808 0.354 0.011
4 Br 0.087 0.913 0.250
5 Br 0.687 0.889 0.123
6 Br 0.192 0.646 0.989
7 Br 0.354 0.808 0.511
8 Br 0.913 0.087 0.750
9 Br 0.313 0.111 0.877
10 Br 0.889 0.687 0.623
11 Zr 0.000 0.000 0.500
12 Zr 0.000 0.000 0.000
13 In 0.525 0.475 0.750
14 In 0.475 0.525 0.250